DFT (PBE) results for a geometry-optimized Ce3PrTh4P8 structure.

Values from the calculation:
- Crystal system: trigonal
- Spin magnetization: 0.09 μB/atom
- DFT formation energy: -1.542 eV/atom
- DFT total energy: -0.276 Ha/atom

a b c (Å): 8.273 8.263 8.273
angles (deg): 120.04 120.00 90.00
Fractional positions:
Th: 0.500 0.000 0.000
Th: 0.000 0.000 0.000
P: 0.252 0.750 0.504
P: 0.251 0.253 0.502
P: 0.254 0.250 0.002
P: 0.746 0.750 0.998
P: 0.749 0.747 0.498
Pr: 0.000 0.500 0.000
P: 0.748 0.250 0.002
Ce: 0.500 0.500 0.000
P: 0.252 0.750 0.998
Th: 0.000 0.000 0.500
P: 0.748 0.250 0.496
Ce: 0.000 0.500 0.500
Ce: 0.500 0.500 0.500
Th: 0.500 0.000 0.500

---

DFT (PBE) results for a geometry-optimized K3NaCu2Cl9 structure.

Values from the calculation:
- Crystal system: trigonal
- Spin magnetization: 0.00 μB/atom
- Formation energy from raw total energies: -1.1889 eV/atom
- DFT total energy: -0.116 Ha/atom

a b c (Å): 6.999 6.999 8.789
angles (deg): 90.00 90.00 120.00
Fractional positions:
K: 0.667 0.333 0.334
Cu: 0.667 0.333 0.841
Cu: 0.333 0.667 0.159
Cl: 0.000 0.500 0.000
K: 0.333 0.667 0.666
Cl: 0.173 0.347 0.308
Cl: 0.173 0.827 0.308
Na: 0.000 0.000 0.500
Cl: 0.500 0.000 0.000
K: 0.000 0.000 0.000
Cl: 0.347 0.173 0.692
Cl: 0.653 0.827 0.308
Cl: 0.500 0.500 0.000
Cl: 0.827 0.653 0.692
Cl: 0.827 0.173 0.692

---

DFT (PBE) results for a geometry-optimized Re4W structure.

Values from the calculation:
- Crystal system: tetragonal
- Spin magnetization: 0.00 μB/atom
- Energy above the lowest structure with this stoichiometry: 0 meV/atom
- DFT formation energy: 0.108 eV/atom
- DFT total energy: -0.457 Ha/atom

a b c (Å): 4.824 4.824 4.824
angles (deg): 99.62 99.62 131.75
Fractional positions:
Re: 0.404 0.198 0.602
Re: 0.596 0.802 0.398
Re: 0.198 0.596 0.793
W: 0.000 0.000 0.000
Re: 0.802 0.404 0.207

---

DFT (PBE) results for a geometry-optimized Pm8HoTl6 structure.

Values from the calculation:
- Crystal system: trigonal
- Spin magnetization: 0.00 μB/atom
- DFT formation energy: -0.160 eV/atom
- DFT total energy: -0.145 Ha/atom

a b c (Å): 9.285 9.285 8.511
angles (deg): 56.94 56.94 60.00
Fractional positions:
Tl: 0.059 0.732 0.822
Tl: 0.941 0.268 0.178
Tl: 0.732 0.387 0.822
Pm: 0.890 0.553 0.333
Pm: 0.334 0.334 0.997
Pm: 0.110 0.447 0.667
Ho: 0.000 0.000 0.000
Pm: 0.776 0.110 0.667
Pm: 0.553 0.224 0.333
Tl: 0.613 0.941 0.178
Tl: 0.387 0.059 0.822
Pm: 0.666 0.666 0.003
Pm: 0.224 0.890 0.333
Tl: 0.268 0.613 0.178
Pm: 0.447 0.776 0.667

---

DFT (PBE) results for a geometry-optimized HgAu2Cl structure.

Values from the calculation:
- Crystal system: orthorhombic
- Spin magnetization: 0.00 μB/atom
- Energy above the lowest structure with this stoichiometry: 146 meV/atom
- Formation energy from raw total energies: 0.1120 eV/atom
- DFT total energy: -0.076 Ha/atom

a b c (Å): 3.484 3.484 8.764
angles (deg): 90.00 90.00 124.72
Fractional positions:
Cl: 0.500 0.500 0.250
Au: 0.000 0.000 0.494
Hg: 0.500 0.500 0.750
Au: 0.000 0.000 0.006

---

DFT (PBE) results for a geometry-optimized Zr2HgSb structure.

Values from the calculation:
- Crystal system: trigonal
- Spin magnetization: 0.00 μB/atom
- Energy above the lowest structure with this stoichiometry: 174 meV/atom
- Formation energy from raw total energies: -0.1801 eV/atom
- DFT total energy: -0.204 Ha/atom

a b c (Å): 10.000 10.000 10.000
angles (deg): 18.87 18.87 18.87
Fractional positions:
Sb: 0.250 0.250 0.250
Hg: 0.750 0.750 0.750
Zr: 0.000 0.000 0.000
Zr: 0.500 0.500 0.500

---

DFT (PBE) results for a geometry-optimized K2BP structure.

Values from the calculation:
- Crystal system: cubic
- Spin magnetization: 0.00 μB/atom
- Energy above the lowest structure with this stoichiometry: 0 meV/atom
- DFT formation energy: 1.022 eV/atom
- DFT total energy: -0.094 Ha/atom

a b c (Å): 5.305 5.305 5.305
angles (deg): 60.00 60.00 60.00
Fractional positions:
B: 0.000 0.000 0.000
P: 0.500 0.500 0.500
K: 0.250 0.250 0.250
K: 0.750 0.750 0.750

---

DFT (PBE) results for a geometry-optimized Sc4F structure.

Values from the calculation:
- Crystal system: cubic
- Spin magnetization: 0.00 μB/atom
- Formation energy from raw total energies: -0.8648 eV/atom
- DFT total energy: -0.232 Ha/atom

a b c (Å): 4.655 4.655 4.655
angles (deg): 90.00 90.00 90.00
Fractional positions:
Sc: 0.500 0.500 0.000
F: 0.500 0.500 0.500
Sc: 0.000 0.000 0.000
Sc: 0.500 0.000 0.500
Sc: 0.000 0.500 0.500